! SmPuZnSb, relaxed, DFT GGA-PBE; values from VASP
! E   -0.2400 hartree per atom
! E_form (uncorrected)   -0.418 eV/atom
&SYSTEM
  ibrav = 0, nat = 4, ntyp = 4
/
ATOMIC_SPECIES
Sb 121.76 Sb.upf
Sm 150.36 Sm.upf
Zn 65.41 Zn.upf
Pu 244.00 Pu.upf
ATOMIC_POSITIONS crystal
Sb 0.5000 0.5000 0.5000
Sm 0.2500 0.2500 0.2500
Zn 0.0000 0.0000 0.0000
Pu 0.7500 0.7500 0.7500
CELL_PARAMETERS angstrom
-0.3819 -0.2096 5.2441
2.3864 -3.8630 2.6595
4.1978 1.0667 2.9885